(1)
# Cs2KNpBr8

A relaxed Cs2KNpBr8 crystal (PBE-GGA, Alexandria via LeMat-Bulk).

```
Cs2KNpBr8
1.0
6.689 0.000 0.000
2.178 7.904 0.000
0.018 0.019 10.854
Cs K Np Br
2 1 1 8
direct
0.001 0.001 0.252
0.999 0.999 0.748
0.500 0.500 0.500
0.500 0.500 0.000
0.028 0.724 0.500
0.102 0.688 0.001
0.423 0.295 0.819
0.424 0.292 0.181
0.576 0.708 0.819
0.577 0.705 0.181
0.898 0.312 0.999
0.972 0.276 0.500
```

Calculated values
**Space group**: P-1
**Raw formation energy**: -1.3925 eV per atom

(2)
# InFeTc

A relaxed InFeTc crystal (PBE-GGA, Alexandria via LeMat-Bulk).

```
InFeTc
1.0
0.000 2.924 2.924
2.924 0.000 2.924
2.924 2.924 0.000
In Fe Tc
1 1 1
direct
0.000 0.000 0.000
0.750 0.750 0.750
0.500 0.500 0.500
```

Calculated values
**Space group**: F-43m
**DFT formation energy**: 0.394 eV/atom
**Energy relative to the lowest polymorph listed for this composition**: 0.212 eV/atom

| no. | total magnetization (μB/cell) |
| --- | --- |
| 1 | 2.6 |
| 2 | 0.0 |